[1]
DFT (PBE) results for crystalline PmEr2Tm3S6 at its relaxed geometry.

Unit cell a=16.9098 b=3.8671 c=7.8082 alpha=90.00 beta=103.55 gamma=90.00
Closest atoms and distances in Å follow each position.
Space group C2/m (No. 12)
One atom of each set of equivalent atoms:
Pm (0.0000, 0.0000, 0.0000) (multiplicity 2)  6 S 2.82-2.83
Er (0.1654, 0.5000, 0.3305) (multiplicity 4)  6 S 2.72-2.77
Tm (0.0000, 0.0000, 0.5000) (multiplicity 2)  6 S 2.68-2.74
Tm (0.1641, 0.5000, 0.8342) (multiplicity 4)  6 S 2.70-2.75
S (0.0003, 0.5000, 0.2626) (multiplicity 4)  3 Tm 2.68-2.70, 1 Er 2.72, 2 Pm 2.82
S (0.1668, 0.0000, 0.5846) (multiplicity 4)  3 Tm 2.74-2.75, 3 Er 2.76-2.77
S (0.1719, 0.0000, 0.0847) (multiplicity 4)  3 Tm 2.70-2.73, 2 Er 2.74, 1 Pm 2.83

* raw formation energy: -1954 meV/atom
* spin magnetization: 0.00 μB per formula unit
* crystal system: monoclinic

***

[2]
DFT (PBE) results for crystalline Rb3C2O6 at its relaxed geometry.

Unit cell a=3.7298 b=3.7298 c=23.8002 alpha=90.00 beta=90.00 gamma=90.00
Closest atoms and distances in Å follow each position.
Space group I4/mmm (No. 139)
One atom of each set of equivalent atoms:
Rb (0.0000, 0.0000, 0.0000) (multiplicity 2)  8 O 2.93
Rb (0.0000, 0.0000, 0.1847) (multiplicity 4)  8 O 2.65-2.83
C (0.0000, 0.0000, 0.3794) (multiplicity 4)  1 O 1.23
O (0.0000, 0.0000, 0.3276) (multiplicity 4)  1 C 1.23
O (0.0000, 0.5000, 0.0952) (multiplicity 8)  2 C 1.96

* raw formation energy: -352 meV/atom
* spin magnetization: 1.74 μB per formula unit
* energy relative to the lowest polymorph listed for this composition: 1259.1 meV/atom
* crystal system: tetragonal

***

[3]
DFT (PBE) results for crystalline AcErTmTl at its relaxed geometry.

Unit cell a=7.9151 b=7.9151 c=7.9151 alpha=90.00 beta=90.00 gamma=90.00
Closest atoms and distances in Å follow each position.
Space group F-43m (No. 216)
One atom of each set of equivalent atoms:
Ac (0.0000, 0.0000, 0.0000) (multiplicity 4)  4 Er 3.43, 4 Tm 3.43
Er (0.2500, 0.2500, 0.7500) (multiplicity 4)  4 Ac 3.43, 4 Tl 3.43
Tm (0.2500, 0.2500, 0.2500) (multiplicity 4)  4 Ac 3.43, 4 Tl 3.43
Tl (0.0000, 0.0000, 0.5000) (multiplicity 4)  4 Er 3.43, 4 Tm 3.43

* calculated total energy: -3.79 eV per atom
* spin magnetization: 1.43 μB per formula unit
* crystal system: cubic